Material: Mg2Cu5Ge2Pd
Method: DFT, GGA-PBE
State: optimized geometry

Calculated values
- Total energy: -3.88 eV/atom
- ρ: 6.753 g/cm³
- Energy of formation: -0.07 eV per atom
- Calculated volume: 152.0 Å³/f.u.

a = 3.6587 Å, b = 9.1143 Å, c = 9.1143 Å
α = 90.00°, β = 90.00°, γ = 90.00°
Fractional positions:
Cu1 0.5000 0.7998 0.9468
Cu2 0.5000 0.5532 0.7002
Cu3 0.5000 0.2998 0.5532
Cu4 0.5000 0.5000 0.0000
Cu5 0.5000 0.0000 0.5000
Cu6 0.5000 0.9468 0.2002
Cu7 0.5000 0.2002 0.0532
Cu8 0.5000 0.4468 0.2998
Cu9 0.5000 0.7002 0.4468
Cu10 0.5000 0.0532 0.7998
Ge1 0.0000 0.6279 0.8721
Ge2 0.0000 0.8721 0.3721
Ge3 0.0000 0.1279 0.6279
Ge4 0.0000 0.3721 0.1279
Mg1 0.0000 0.6721 0.1721
Mg2 0.0000 0.3279 0.8279
Mg3 0.0000 0.8279 0.6721
Mg4 0.0000 0.1721 0.3279
Pd1 0.0000 0.5000 0.5000
Pd2 0.0000 0.0000 0.0000

***

Material: MgCuGePd
Method: DFT, GGA-PBE
State: optimized geometry

Calculated values
- Total energy: -4.21 eV/atom
- ρ: 7.260 g/cm³
- Energy of formation: -0.33 eV per atom
- Calculated volume: 61.1 Å³/f.u.

a = 4.4198 Å, b = 4.4198 Å, c = 4.4198 Å
α = 60.00°, β = 60.00°, γ = 60.00°
Fractional positions:
Cu1 0.5000 0.5000 0.5000
Mg1 0.7500 0.7500 0.7500
Pd1 0.0000 0.0000 0.0000
Ge1 0.2500 0.2500 0.2500